First-principles (PBE) data for an optimized crystal structure of NaGePdPt, as listed in Alexandria via LeMat-Bulk.

Lattice parameters (Å, degrees): 6.327 6.327 6.327 90.00 90.00 90.00
Space group F-43m (No. 216)
Asymmetric unit:
Na: 0.000 0.000 0.000
Ge: 0.000 0.000 0.500
Pd: 0.250 0.250 0.250
Pt: 0.250 0.250 0.750

Values from the calculation:
ΔE to the lowest computed polymorph = 42 meV/atom
ΔE_f = -0.24 eV/atom
calculated volume = 63.3 Å³/f.u.
M_tot = 0.000 μB per cell